[1]
First-principles (PBE) data for a relaxed structure of Sm4RhSeS2, as listed in the Alexandria database.

Output
N(E_F) (states/eV per cell): 5.6
Energy relative to the elements, uncorrected (eV per atom): -1.60

Unit cell a=7.1207 b=4.0315 c=7.1617 alpha=90.00 beta=108.98 gamma=90.00
With the nearest neighbours (Å) after each atom.
Element x y z (fractional)
Sm: 0.2414 0.0000 0.2390  3 S 2.83-2.92, 1 Rh 2.89, 2 Se 2.95
Sm: 0.2546 0.5000 0.7627  2 Rh 2.84, 3 S 2.86-2.94, 1 Se 2.95
Sm: 0.7454 0.5000 0.2373  2 Rh 2.84, 3 S 2.86-2.94, 1 Se 2.95
Sm: 0.7586 0.0000 0.7610  3 S 2.83-2.92, 1 Rh 2.89, 2 Se 2.95
Rh: 0.5000 0.0000 0.0000  6 Sm 2.84-2.89
Se: 0.5000 0.5000 0.5000  6 Sm 2.95
S: 0.0000 0.0000 0.5000  6 Sm 2.92-2.94
S: 0.0000 0.5000 0.0000  6 Sm 2.83-2.86

***

[2]
First-principles (PBE) data for a relaxed structure of Tb4RhSeS2, as listed in the Alexandria database.

Output
N(E_F) (states/eV per cell): 5.3
Energy relative to the elements, uncorrected (eV per atom): -1.60

Unit cell a=7.0031 b=3.9530 c=7.0236 alpha=90.00 beta=108.85 gamma=90.00
With the nearest neighbours (Å) after each atom.
Element x y z (fractional)
Tb: 0.2420 0.0000 0.2372  3 S 2.78-2.88, 1 Rh 2.83, 2 Se 2.90
Tb: 0.2549 0.5000 0.7637  2 Rh 2.79, 3 S 2.80-2.90, 1 Se 2.90
Tb: 0.7451 0.5000 0.2363  2 Rh 2.79, 3 S 2.80-2.90, 1 Se 2.90
Tb: 0.7580 0.0000 0.7628  3 S 2.78-2.88, 1 Rh 2.83, 2 Se 2.90
Rh: 0.5000 0.0000 0.0000  6 Tb 2.79-2.83
Se: 0.5000 0.5000 0.5000  6 Tb 2.90
S: 0.0000 0.0000 0.5000  6 Tb 2.88-2.90
S: 0.0000 0.5000 0.0000  6 Tb 2.78-2.80

***

[3]
First-principles (PBE) data for a relaxed structure of Th6RhSe3S2, as listed in the Alexandria database.

Output
N(E_F) (states/eV per cell): 10.5
Energy relative to the elements, uncorrected (eV per atom): -1.53

Unit cell a=9.4435 b=9.4435 c=8.5208 alpha=105.14 beta=105.14 gamma=24.72
With the nearest neighbours (Å) after each atom.
Element x y z (fractional)
Th: 0.0055 0.0055 0.2341  2 Rh 2.82, 1 S 2.90, 3 Se 3.03-3.06
Th: 0.3298 0.3298 0.4265  3 S 2.85-2.87, 3 Se 3.02-3.03
Th: 0.3344 0.3344 0.9032  2 S 2.86, 1 Rh 2.94, 3 Se 3.02-3.03
Th: 0.6656 0.6656 0.0968  2 S 2.86, 1 Rh 2.94, 3 Se 3.02-3.03
Th: 0.6702 0.6702 0.5735  3 S 2.85-2.87, 3 Se 3.02-3.03
Th: 0.9945 0.9945 0.7659  2 Rh 2.82, 1 S 2.90, 3 Se 3.03-3.06
Rh: 0.5000 0.5000 0.0000  6 Th 2.82-2.94
Se: 0.1646 0.1646 0.8333  6 Th 3.02-3.03
Se: 0.5000 0.5000 0.5000  6 Th 3.03-3.06
Se: 0.8354 0.8354 0.1667  6 Th 3.02-3.03
S: 0.1685 0.1685 0.3359  6 Th 2.85-2.90
S: 0.8315 0.8315 0.6641  6 Th 2.85-2.90

***

[4]
First-principles (PBE) data for a relaxed structure of Th6Rh2Se3S, as listed in the Alexandria database.

Output
N(E_F) (states/eV per cell): 9.9
Energy relative to the elements, uncorrected (eV per atom): -1.36

Unit cell a=7.1650 b=7.1650 c=7.4415 alpha=99.36 beta=99.36 gamma=119.59
With the nearest neighbours (Å) after each atom.
Element x y z (fractional)
Th: 0.0822 0.4233 0.7702  2 Rh 2.86-2.87, 1 S 2.93, 3 Se 3.05-3.09
Th: 0.2345 0.2345 0.2268  2 Rh 2.85, 1 S 2.93, 3 Se 3.04-3.05
Th: 0.4233 0.0822 0.7702  2 Rh 2.86-2.87, 1 S 2.93, 3 Se 3.05-3.09
Th: 0.5767 0.9178 0.2298  2 Rh 2.86-2.87, 1 S 2.93, 3 Se 3.05-3.09
Th: 0.7655 0.7655 0.7732  2 Rh 2.85, 1 S 2.93, 3 Se 3.04-3.05
Th: 0.9178 0.5767 0.2298  2 Rh 2.86-2.87, 1 S 2.93, 3 Se 3.05-3.09
Rh: 0.1668 0.8332 0.0000  6 Th 2.85-2.87
Rh: 0.8332 0.1668 0.0000  6 Th 2.85-2.87
Se: 0.0000 0.0000 0.5000  6 Th 3.04-3.07
Se: 0.3385 0.6615 0.5000  6 Th 3.05-3.09
Se: 0.6615 0.3385 0.5000  6 Th 3.05-3.09
S: 0.5000 0.5000 0.0000  6 Th 2.93

***

[5]
First-principles (PBE) data for a relaxed structure of Tm4RhSe2S, as listed in the Alexandria database.

Output
N(E_F) (states/eV per cell): 5.1
Energy relative to the elements, uncorrected (eV per atom): -1.52

Unit cell a=7.0037 b=3.9063 c=7.0063 alpha=90.00 beta=108.57 gamma=90.00
With the nearest neighbours (Å) after each atom.
Element x y z (fractional)
Tm: 0.2334 0.0000 0.2235  2 Rh 2.70, 1 S 2.79, 3 Se 2.91-2.96
Tm: 0.2514 0.5000 0.7704  1 Rh 2.74, 2 S 2.77, 3 Se 2.89-2.95
Tm: 0.7486 0.5000 0.2296  1 Rh 2.74, 2 S 2.77, 3 Se 2.89-2.95
Tm: 0.7666 0.0000 0.7765  2 Rh 2.70, 1 S 2.79, 3 Se 2.91-2.96
Rh: 0.0000 0.5000 0.0000  6 Tm 2.70-2.74
Se: 0.0000 0.0000 0.5000  6 Tm 2.89-2.91
Se: 0.5000 0.5000 0.5000  6 Tm 2.95-2.96
S: 0.5000 0.0000 0.0000  6 Tm 2.77-2.79

***

[6]
First-principles (PBE) data for a relaxed structure of Tm4RhSeS2, as listed in the Alexandria database.

Output
N(E_F) (states/eV per cell): 4.8
Energy relative to the elements, uncorrected (eV per atom): -1.55

Unit cell a=6.8918 b=3.8650 c=6.9123 alpha=90.00 beta=108.57 gamma=90.00
With the nearest neighbours (Å) after each atom.
Element x y z (fractional)
Tm: 0.2337 0.0000 0.2440  3 S 2.73-2.86, 1 Rh 2.75, 2 Se 2.86
Tm: 0.2342 0.5000 0.7441  2 Rh 2.73, 3 S 2.75-2.86, 1 Se 2.86
Tm: 0.7663 0.0000 0.7560  3 S 2.73-2.86, 1 Rh 2.75, 2 Se 2.86
Tm: 0.7658 0.5000 0.2559  2 Rh 2.73, 3 S 2.75-2.86, 1 Se 2.86
Rh: 0.0000 0.0000 0.5000  6 Tm 2.73-2.75
Se: 0.5000 0.5000 0.5000  6 Tm 2.86
S: 0.0000 0.5000 0.0000  6 Tm 2.73-2.75
S: 0.5000 0.0000 0.0000  6 Tm 2.86